No. 1
A geometry-optimized LiEuBr2 structure. Source: Alexandria via LeMat-Bulk, functional PBE-GGA.

Properties
**Final energy**: -20.785 eV per cell
**Spin magnetization**: 7.54 μB per formula unit
**Calculated volume**: 127.7 Å³/f.u.
**Formation energy without anion corrections**: -1.313 eV per atom
**Symmetry**: R-3m (166)

Structure (CIF):
```
data_LiEuBr2
_cell_length_a 4.104
_cell_length_b 4.104
_cell_length_c 9.069
_cell_angle_alpha 76.92
_cell_angle_beta 76.92
_cell_angle_gamma 60.00
_space_group_name_H-M_alt 'P 1'
_space_group_IT_number 1
loop_
_space_group_symop_operation_xyz
'x,y,z'
loop_
_atom_site_label
_atom_site_type_symbol
_atom_site_fract_x
_atom_site_fract_y
_atom_site_fract_z
_atom_site_occupancy
Eu1 Eu 0.000 0.000 0.000 1
Br1 Br 0.110 0.110 0.669 1
Br2 Br 0.890 0.890 0.331 1
Li1 Li 0.500 0.500 0.500 1
```

No. 2
A geometry-optimized LiEuBr3 structure. Source: Alexandria via LeMat-Bulk, functional PBE-GGA.

Properties
**Final energy**: -25.201 eV per cell
**Spin magnetization**: 7.00 μB per formula unit
**Calculated volume**: 133.4 Å³/f.u.
**Formation energy without anion corrections**: -1.599 eV per atom
**Symmetry**: Pm-3m (221)

Structure (CIF):
```
data_LiEuBr3
_cell_length_a 5.109
_cell_length_b 5.109
_cell_length_c 5.109
_cell_angle_alpha 90.00
_cell_angle_beta 90.00
_cell_angle_gamma 90.00
_space_group_name_H-M_alt 'P 1'
_space_group_IT_number 1
loop_
_space_group_symop_operation_xyz
'x,y,z'
loop_
_atom_site_label
_atom_site_type_symbol
_atom_site_fract_x
_atom_site_fract_y
_atom_site_fract_z
_atom_site_occupancy
Eu1 Eu 0.500 0.500 0.500 1
Br1 Br 0.000 0.500 0.000 1
Br2 Br 0.000 0.000 0.500 1
Br3 Br 0.500 0.000 0.000 1
Li1 Li 0.000 0.000 0.000 1
```